A plane-wave DFT calculation with PBE-GGA was carried out for crystalline CaPr3Sn2 at its relaxed geometry.

Geometry as POSCAR:
```
CaPr3Sn2
1.0
9.2752 -2.3769 0.0000
9.2752 2.3769 0.0000
-4.2123 0.0000 8.9820
Ca Pr Sn
2 6 4
Cartesian
1.5556 0.0000 1.0917
12.7824 0.0000 7.8903
-1.9857 0.0000 6.1400
5.2122 0.0000 0.9960
4.3045 0.0000 4.6596
10.0335 0.0000 4.3224
9.1258 0.0000 7.9859
16.3237 0.0000 2.8420
1.4898 0.0000 6.4532
8.5542 0.0000 1.3211
5.7838 0.0000 7.6609
12.8482 0.0000 2.5288
```

Results
Crystal system: monoclinic
SG: C2/m (12)
Magnetic moment, μB/cell: 0.0
Uncorrected energy, hartree per atom: -0.167
ΔH_f (0 K), meV per atom: -481